Below is GaHPt4 after structural relaxation, with properties calculated at the GGA-PBE level.

## Properties
energy above the lowest structure with this stoichiometry = 0.0 meV per atom
crystal system = orthorhombic
SG = Cmcm

Unit cell a=2.870 b=7.202 c=8.252 alpha=90.00 beta=100.01 gamma=90.00
Fractional positions:
1 H 0.171 0.750 0.341
2 H 0.829 0.250 0.659
3 Pt 0.602 0.750 0.204
4 Pt 0.821 0.544 0.643
5 Pt 0.000 0.500 0.000
6 Pt 0.000 0.000 0.000
7 Pt 0.179 0.044 0.357
8 Pt 0.398 0.250 0.796
9 Pt 0.179 0.456 0.357
10 Pt 0.821 0.956 0.643
11 Ga 0.417 0.750 0.834
12 Ga 0.583 0.250 0.166

Below is YTcSb4 after structural relaxation, with properties calculated at the GGA-PBE level.

## Properties
electronic total energy = -5.009 eV per atom
crystal system = cubic
SG = F-43m

Unit cell a=6.116 b=6.116 c=6.116 alpha=60.00 beta=60.00 gamma=60.00
Each line ends with the local moment (μB).
Fractional positions:
1 Sb 0.376 0.873 0.376  -0.01
2 Sb 0.873 0.376 0.376  -0.01
3 Sb 0.376 0.376 0.873  -0.01
4 Sb 0.376 0.376 0.376  -0.01
5 Tc 0.750 0.750 0.750  2.63
6 Y 0.000 0.000 0.000  -0.16

Below is ScBeSbTe2 after structural relaxation, with properties calculated at the GGA-PBE level.

## Properties
energy above the lowest structure with this stoichiometry = 0.0 meV per atom
crystal system = tetragonal
SG = P4/mmm

Unit cell a=5.199 b=5.199 c=4.659 alpha=90.00 beta=90.00 gamma=90.00
Fractional positions:
1 Te 0.000 0.500 0.000
2 Te 0.500 0.000 0.000
3 Sc 0.500 0.500 0.500
4 Be 0.000 0.000 0.000
5 Sb 0.000 0.000 0.500

Below is Cs3HBr after structural relaxation, with properties calculated at the GGA-PBE level.

## Properties
energy above the lowest structure with this stoichiometry = 0.0 meV per atom
crystal system = cubic
SG = Pm-3m

Unit cell a=6.255 b=6.255 c=6.255 alpha=90.00 beta=90.00 gamma=90.00
Fractional positions:
1 Cs 0.500 0.000 0.000
2 Cs 0.000 0.000 0.500
3 Cs 0.000 0.500 0.000
4 Br 0.500 0.500 0.500
5 H 0.000 0.000 0.000

no.,density of states at the Fermi level (states/eV per cell)
1,8.505
2,4.238
3,3.767
4,4.010